Version P
The following is a DFT calculation (GGA-PBE) of a geometry-optimized K3Hg4Au4 structure.

- M_tot: 0.00 μB per atom

a b c (Å): 7.5935 7.5935 7.5935
angles (deg): 109.47 109.47 109.47
Atoms (fractional coordinates):
K: 0.0000 0.5000 0.5000
K: 0.5000 0.0000 0.5000
K: 0.5000 0.5000 0.0000
Hg: 0.0000 0.0000 0.2630
Hg: 0.0000 0.2630 0.0000
Hg: 0.2630 0.0000 0.0000
Hg: 0.7370 0.7370 0.7370
Au: 0.0000 0.0000 0.6209
Au: 0.0000 0.6209 0.0000
Au: 0.3791 0.3791 0.3791
Au: 0.6209 0.0000 0.0000

---

Version Q
The following is a DFT calculation (GGA-PBE) of a geometry-optimized K3Hg4Au4 structure.

- M_tot: 0.00 μB per atom

a b c (Å): 4.5855 4.7828 15.2572
angles (deg): 81.25 81.42 89.99
Atoms (fractional coordinates):
K: 0.0000 0.0000 0.0000
K: 0.1486 0.6494 0.7049
K: 0.8514 0.3506 0.2951
Hg: 0.2499 0.2504 0.4997
Hg: 0.4002 0.9024 0.1928
Hg: 0.5998 0.0976 0.8072
Hg: 0.7501 0.7496 0.5003
Au: 0.3113 0.8072 0.3807
Au: 0.4506 0.4499 0.0924
Au: 0.5494 0.5501 0.9076
Au: 0.6887 0.1928 0.6193

---

Need the numbers? Relative energies in meV/atom: version P 37; version Q 0.

---

Version P
The following is a DFT calculation (GGA-PBE) of a geometry-optimized K3HgAu structure.

- M_tot: 0.00 μB per atom

a b c (Å): 5.2155 10.1227 7.4903
angles (deg): 90.00 90.00 90.00
Atoms (fractional coordinates):
K: 0.2500 0.0463 0.2309
K: 0.2500 0.2500 0.7532
K: 0.2500 0.4537 0.2309
K: 0.7500 0.5463 0.7691
K: 0.7500 0.7500 0.2468
K: 0.7500 0.9537 0.7691
Hg: 0.2500 0.7500 0.5679
Hg: 0.7500 0.2500 0.4321
Au: 0.2500 0.7500 0.9507
Au: 0.7500 0.2500 0.0493

---

Version Q
The following is a DFT calculation (GGA-PBE) of a geometry-optimized K3HgAu structure.

- M_tot: 0.00 μB per atom

a b c (Å): 8.6927 8.6927 10.0189
angles (deg): 90.61 90.61 32.34
Atoms (fractional coordinates):
K: 0.0551 0.0551 0.1720
K: 0.2306 0.2306 0.8367
K: 0.4076 0.4076 0.3941
K: 0.5924 0.5924 0.6059
K: 0.7694 0.7694 0.1633
K: 0.9449 0.9449 0.8280
Hg: 0.2045 0.2045 0.4382
Hg: 0.7955 0.7955 0.5618
Au: 0.4186 0.4186 0.0579
Au: 0.5814 0.5814 0.9421

---

Need the numbers? Relative energies in meV/atom: version P 0; version Q 19.

---

Version P
The following is a DFT calculation (GGA-PBE) of a geometry-optimized KHg10Au2 structure.

- M_tot: 0.00 μB per atom

a b c (Å): 8.0308 10.7700 8.2126
angles (deg): 90.00 97.52 90.00
Atoms (fractional coordinates):
K: 0.0769 0.0000 0.4052
K: 0.9231 0.5000 0.5948
Hg: 0.0490 0.9234 0.9719
Hg: 0.1329 0.2280 0.7362
Hg: 0.1685 0.3197 0.3662
Hg: 0.2215 0.7390 0.6613
Hg: 0.2307 0.5990 0.3061
Hg: 0.3172 0.4797 0.8892
Hg: 0.3203 0.1498 0.1116
Hg: 0.3928 0.0052 0.7709
Hg: 0.4067 0.7802 0.0490
Hg: 0.4914 0.8804 0.4077
Hg: 0.5086 0.3804 0.5923
Hg: 0.5933 0.2802 0.9510
Hg: 0.6072 0.5052 0.2291
Hg: 0.6797 0.6498 0.8884
Hg: 0.6828 0.9797 0.1108
Hg: 0.7693 0.0990 0.6939
Hg: 0.7785 0.2390 0.3387
Hg: 0.8315 0.8197 0.6338
Hg: 0.8671 0.7280 0.2638
Hg: 0.9510 0.4234 0.0281
Au: 0.0610 0.6639 0.9702
Au: 0.4678 0.1385 0.4567
Au: 0.5322 0.6385 0.5433
Au: 0.9390 0.1639 0.0298

---

Version Q
The following is a DFT calculation (GGA-PBE) of a geometry-optimized KHg10Au2 structure.

- M_tot: 0.00 μB per atom

a b c (Å): 11.0543 8.6007 8.0363
angles (deg): 83.20 50.59 46.21
Atoms (fractional coordinates):
K: 0.0000 0.0000 0.0000
Hg: 0.0000 0.5000 0.0000
Hg: 0.0141 0.6417 0.3583
Hg: 0.2930 0.5066 0.4934
Hg: 0.3583 0.9859 0.0141
Hg: 0.4934 0.7070 0.2930
Hg: 0.5000 0.0000 0.5000
Hg: 0.5066 0.2930 0.7070
Hg: 0.6417 0.0141 0.9859
Hg: 0.7070 0.4934 0.5066
Hg: 0.9859 0.3583 0.6417
Au: 0.0000 0.0000 0.5000
Au: 0.5000 0.5000 0.0000

---

Need the numbers? Relative energies in meV/atom: version P 0; version Q 19.

---

Version P
The following is a DFT calculation (GGA-PBE) of a geometry-optimized KHg4Au2 structure.

- M_tot: 0.00 μB per atom

a b c (Å): 8.6964 8.6964 4.6271
angles (deg): 90.00 90.00 146.76
Atoms (fractional coordinates):
K: 0.0000 0.0000 0.0000
Hg: 0.1718 0.8282 0.5000
Hg: 0.3147 0.6853 0.0000
Hg: 0.6853 0.3147 0.0000
Hg: 0.8282 0.1718 0.5000
Au: 0.4196 0.5804 0.5000
Au: 0.5804 0.4196 0.5000

---

Version Q
The following is a DFT calculation (GGA-PBE) of a geometry-optimized KHg4Au2 structure.

- M_tot: 0.00 μB per atom

a b c (Å): 19.2044 4.9499 7.6629
angles (deg): 90.00 90.00 90.00
Atoms (fractional coordinates):
K: 0.1430 0.2500 0.0265
K: 0.3570 0.7500 0.5265
K: 0.6430 0.2500 0.4735
K: 0.8570 0.7500 0.9735
Hg: 0.0375 0.7500 0.8534
Hg: 0.0658 0.2500 0.4737
Hg: 0.1828 0.7500 0.3255
Hg: 0.1856 0.7500 0.7320
Hg: 0.3144 0.2500 0.2320
Hg: 0.3172 0.2500 0.8255
Hg: 0.4342 0.7500 0.9737
Hg: 0.4625 0.2500 0.3534
Hg: 0.5375 0.7500 0.6466
Hg: 0.5658 0.2500 0.0263
Hg: 0.6828 0.7500 0.1745
Hg: 0.6856 0.7500 0.7680
Hg: 0.8144 0.2500 0.2680
Hg: 0.8172 0.2500 0.6745
Hg: 0.9342 0.7500 0.5263
Hg: 0.9625 0.2500 0.1466
Au: 0.0353 0.7500 0.2443
Au: 0.2170 0.2500 0.5334
Au: 0.2830 0.7500 0.0334
Au: 0.4647 0.2500 0.7443
Au: 0.5353 0.7500 0.2557
Au: 0.7170 0.2500 0.9666
Au: 0.7830 0.7500 0.4666
Au: 0.9647 0.2500 0.7557

---

Need the numbers? Relative energies in meV/atom: version P 22; version Q 0.

---

Version P
The following is a DFT calculation (GGA-PBE) of a geometry-optimized K2Hg5Au4 structure.

- M_tot: 0.00 μB per atom

a b c (Å): 7.7905 7.7905 9.3029
angles (deg): 124.99 124.99 47.63
Atoms (fractional coordinates):
K: 0.2271 0.2271 0.2896
K: 0.7729 0.7729 0.7104
Hg: 0.2025 0.7024 0.2433
Hg: 0.2976 0.7975 0.7567
Hg: 0.5000 0.5000 0.0000
Hg: 0.7024 0.2025 0.2433
Hg: 0.7975 0.2976 0.7567
Au: 0.1278 0.1278 0.5532
Au: 0.2753 0.2753 0.9273
Au: 0.7247 0.7247 0.0727
Au: 0.8722 0.8722 0.4468

---

Version Q
The following is a DFT calculation (GGA-PBE) of a geometry-optimized K2Hg5Au4 structure.

- M_tot: 0.00 μB per atom

a b c (Å): 10.2661 9.3121 6.2885
angles (deg): 79.74 63.20 37.07
Atoms (fractional coordinates):
K: 0.1458 0.1458 0.8542
K: 0.8542 0.8542 0.1458
Hg: 0.0000 0.0000 0.5000
Hg: 0.2500 0.2500 0.2500
Hg: 0.5000 0.5000 0.0000
Hg: 0.5000 0.5000 0.5000
Hg: 0.7500 0.7500 0.7500
Au: 0.2275 0.5013 0.4987
Au: 0.4987 0.7725 0.2275
Au: 0.5013 0.2275 0.7725
Au: 0.7725 0.4987 0.5013

---

Need the numbers? Relative energies in meV/atom: version P 21; version Q 0.

---

Version P
The following is a DFT calculation (GGA-PBE) of a geometry-optimized K2Hg4Au structure.

- M_tot: 0.00 μB per atom

a b c (Å): 7.0227 6.7352 9.3529
angles (deg): 90.00 102.02 90.00
Atoms (fractional coordinates):
K: 0.1267 0.2500 0.3914
K: 0.2173 0.7500 0.0127
K: 0.7827 0.2500 0.9873
K: 0.8733 0.7500 0.6086
Hg: 0.2985 0.2500 0.0467
Hg: 0.3154 0.7500 0.4193
Hg: 0.3990 0.5106 0.7163
Hg: 0.3990 0.9894 0.7163
Hg: 0.6010 0.0106 0.2837
Hg: 0.6010 0.4894 0.2837
Hg: 0.6846 0.2500 0.5807
Hg: 0.7015 0.7500 0.9533
Au: 0.0742 0.2500 0.7501
Au: 0.9258 0.7500 0.2499

---

Version Q
The following is a DFT calculation (GGA-PBE) of a geometry-optimized K2Hg4Au structure.

- M_tot: 0.00 μB per atom

a b c (Å): 9.6525 9.6525 9.6525
angles (deg): 147.37 147.37 46.82
Atoms (fractional coordinates):
K: 0.1390 0.1390 0.0000
K: 0.8610 0.8610 0.0000
Hg: 0.0000 0.5000 0.5000
Hg: 0.3342 0.3342 0.0000
Hg: 0.5000 0.0000 0.5000
Hg: 0.6658 0.6658 0.0000
Au: 0.5000 0.5000 0.0000

---

Need the numbers? Relative energies in meV/atom: version P 0; version Q 82.

---

Version P
The following is a DFT calculation (GGA-PBE) of a geometry-optimized KHgAu3 structure.

- M_tot: 0.00 μB per atom

a b c (Å): 5.3506 5.3506 5.3506
angles (deg): 90.00 90.00 90.00
Atoms (fractional coordinates):
K: 0.0000 0.0000 0.0000
Hg: 0.5000 0.5000 0.5000
Au: 0.0000 0.5000 0.5000
Au: 0.5000 0.0000 0.5000
Au: 0.5000 0.5000 0.0000

---

Version Q
The following is a DFT calculation (GGA-PBE) of a geometry-optimized KHgAu3 structure.

- M_tot: 0.00 μB per atom

a b c (Å): 5.8114 5.8114 5.8114
angles (deg): 90.00 90.00 90.00
Atoms (fractional coordinates):
K: 0.0000 0.0000 0.0000
Hg: 0.5000 0.5000 0.5000
Au: 0.0000 0.0000 0.5000
Au: 0.0000 0.5000 0.0000
Au: 0.5000 0.0000 0.0000

---

Need the numbers? Relative energies in meV/atom: version P 0; version Q 925.

---

Version P
The following is a DFT calculation (GGA-PBE) of a geometry-optimized K3Hg2Au4 structure.

- M_tot: 0.00 μB per atom

a b c (Å): 6.3095 6.3095 10.5543
angles (deg): 112.85 112.85 43.64
Atoms (fractional coordinates):
K: 0.0000 0.0000 0.0000
K: 0.1090 0.1090 0.3856
K: 0.8910 0.8910 0.6144
Hg: 0.2492 0.2492 0.7744
Hg: 0.7508 0.7508 0.2256
Au: 0.3090 0.3090 0.0801
Au: 0.4066 0.4066 0.3697
Au: 0.5934 0.5934 0.6303
Au: 0.6910 0.6910 0.9199

---

Version Q
The following is a DFT calculation (GGA-PBE) of a geometry-optimized K3Hg2Au4 structure.

- M_tot: 0.00 μB per atom

a b c (Å): 6.4661 6.4661 9.4972
angles (deg): 106.92 106.92 44.44
Atoms (fractional coordinates):
K: 0.0000 0.0000 0.0000
K: 0.3659 0.3659 0.3094
K: 0.6341 0.6341 0.6906
Hg: 0.3362 0.3362 0.6765
Hg: 0.6638 0.6638 0.3235
Au: 0.0862 0.0862 0.4277
Au: 0.2713 0.2713 0.9417
Au: 0.7287 0.7287 0.0583
Au: 0.9138 0.9138 0.5723

---

Need the numbers? Relative energies in meV/atom: version P 15; version Q 0.